# 1
A plane-wave DFT calculation with PBE was carried out for an optimized crystal structure of Sm2TmCo9.

a = 8.7302 Å, b = 8.7302 Å, c = 8.7302 Å
α = 33.08°, β = 33.08°, γ = 33.08°
Last column: nearest neighbours and their distance in Å.
Element x y z (fractional)
1 Sm 0.1393 0.1393 0.1393  12 Co 2.90-3.18, 3 Sm 3.17
2 Sm 0.8607 0.8607 0.8607  12 Co 2.90-3.18, 3 Sm 3.17
3 Tm 0.0000 0.0000 0.0000  18 Co 2.87-3.17
4 Co 0.0800 0.5788 0.5788  7 Co 2.42-2.59
5 Co 0.3338 0.3338 0.3338  6 Co 2.42-2.44
6 Co 0.4212 0.4212 0.9200  7 Co 2.42-2.59
7 Co 0.4212 0.9200 0.4212  7 Co 2.42-2.59
8 Co 0.5000 0.5000 0.5000  6 Co 2.59
9 Co 0.5788 0.0800 0.5788  7 Co 2.42-2.59
10 Co 0.5788 0.5788 0.0800  7 Co 2.42-2.59
11 Co 0.6662 0.6662 0.6662  6 Co 2.42-2.44
12 Co 0.9200 0.4212 0.4212  7 Co 2.42-2.59

Results
Crystal system: trigonal
E_tot in eV per atom: -6.6153
Formation energy from the elements in eV per atom: -0.1268



# 2
A plane-wave DFT calculation with PBE was carried out for an optimized crystal structure of Tb2HoCd.

a = 5.4669 Å, b = 5.4669 Å, c = 3.8335 Å
α = 90.00°, β = 90.00°, γ = 90.00°
Last column: nearest neighbours and their distance in Å.
Element x y z (fractional)
1 Tb 0.0000 0.5000 0.0000  4 Cd 3.34, 4 Ho 3.34
2 Tb 0.5000 0.0000 0.0000  4 Cd 3.34, 4 Ho 3.34
3 Ho 0.0000 0.0000 0.5000  8 Tb 3.34
4 Cd 0.5000 0.5000 0.5000  8 Tb 3.34

Results
Crystal system: tetragonal
E_tot in eV per atom: -3.7499
Formation energy from the elements in eV per atom: -0.0615
Energy above the lowest structure with this stoichiometry in kJ/mol of atoms: 7.9



# 3
A plane-wave DFT calculation with PBE was carried out for an optimized crystal structure of TiCrCd2Pd.

a = 5.0511 Å, b = 5.0511 Å, c = 4.1179 Å
α = 90.00°, β = 90.00°, γ = 90.00°
Last column: nearest neighbours and their distance in Å.
Element x y z (fractional)
1 Ti 0.0000 0.0000 0.0000  2 Cr 2.06
2 Cr 0.0000 0.0000 0.5000  2 Ti 2.06
3 Cd 0.0000 0.5000 0.5000  2 Cr 2.53
4 Cd 0.5000 0.0000 0.5000  2 Cr 2.53
5 Pd 0.5000 0.5000 0.0000  8 Cd 3.26, 4 Ti 3.57

Results
Crystal system: tetragonal
E_tot in eV per atom: -4.1812
Formation energy from the elements in eV per atom: 0.7271



# 4
A plane-wave DFT calculation with PBE was carried out for an optimized crystal structure of La6In5Pb.

a = 9.7088 Å, b = 9.7088 Å, c = 9.7088 Å
α = 146.42°, β = 131.83°, γ = 60.00°
Last column: nearest neighbours and their distance in Å.
Element x y z (fractional)
1 La 0.0831 0.3333 0.7498  7 In 3.39-3.43, 1 Pb 3.43
2 La 0.2495 0.0000 0.2495  6 In 3.43-3.48, 2 Pb 3.44
3 La 0.4164 0.6667 0.7498  7 In 3.39-3.43, 1 Pb 3.43
4 La 0.5836 0.3333 0.2502  7 In 3.39-3.43, 1 Pb 3.43
5 La 0.7505 0.0000 0.7505  6 In 3.43-3.48, 2 Pb 3.44
6 La 0.9169 0.6667 0.2502  7 In 3.39-3.43, 1 Pb 3.43
7 In 0.0000 0.5000 0.5000  8 La 3.43
8 In 0.1666 0.1666 0.0000  8 La 3.43
9 In 0.3304 0.8304 0.5000  8 La 3.39-3.48
10 In 0.6696 0.1696 0.5000  8 La 3.39-3.48
11 In 0.8334 0.8334 0.0000  8 La 3.43
12 Pb 0.5000 0.5000 0.0000  8 La 3.43-3.44

Results
Crystal system: orthorhombic
E_tot in eV per atom: -4.4345
Formation energy from the elements in eV per atom: -0.5207